No. 1
Computed, not measured: crystalline LaMoWS2 at its relaxed geometry at the GGA-PBE level of DFT.

For the total energy, the calculation gives -6.4771 eV per atom. The calculated density comes out at 6.525 g/cm³. The calculation puts the magnetic moment at 3.87 μB per cell. The uncorrected formation energy comes out at 916 meV per atom.

It has space group P4/mmm (No. 123), with a = 4.647 Å, b = 4.647 Å, c = 5.691 Å, α = 90.00°, β = 90.00° and γ = 90.00°. The inequivalent atoms are La at (0.000, 0.000, 0.000), Mo at (0.000, 0.000, 0.500), W at (0.500, 0.500, 0.000) and S at (0.000, 0.500, 0.500).

No. 2
Computed, not measured: crystalline SmIn6Ni6 at its relaxed geometry at the GGA-PBE level of DFT.

For the total energy, the calculation gives -4.5125 eV per atom. The calculated density comes out at 8.910 g/cm³. The calculation puts the magnetic moment at 0.00 μB per cell. As for the formation energy: -0.22 eV per atom.

It has space group Immm (No. 71), with a = 5.318 Å, b = 9.023 Å, c = 9.255 Å, α = 90.00°, β = 90.00° and γ = 90.00°. The inequivalent atoms are Sm at (0.000, 0.000, 0.000), In at (0.000, 0.000, 0.342), In at (0.000, 0.333, 0.000), In at (0.000, 0.500, 0.320), Ni at (0.000, 0.262, 0.500) and Ni at (0.250, 0.250, 0.250).

No. 3
Computed, not measured: crystalline WS4 at its relaxed geometry at the GGA-PBE level of DFT.

For the total energy, the calculation gives -5.4024 eV per atom. The calculated density comes out at 5.114 g/cm³. The calculation puts the magnetic moment at 0.03 μB per cell. The uncorrected formation energy comes out at 490 meV per atom.

It has space group Pm-3m (No. 221), with a = 4.662 Å, b = 4.662 Å, c = 4.662 Å, α = 90.00°, β = 90.00° and γ = 90.00°. The inequivalent atoms are W at (0.000, 0.000, 0.000), S at (0.000, 0.000, 0.500) and S at (0.500, 0.500, 0.500).

No. 4
Computed, not measured: crystalline SiAsOs2 at its relaxed geometry at the GGA-PBE level of DFT.

For the total energy, the calculation gives -8.0143 eV per atom. The calculated density comes out at 14.451 g/cm³. The calculation puts the magnetic moment at 0.00 μB per cell. The uncorrected formation energy comes out at 119 meV per atom.

It has space group Fm-3m (No. 225), with a = 6.057 Å, b = 6.057 Å, c = 6.057 Å, α = 90.00°, β = 90.00° and γ = 90.00°. The inequivalent atoms are Si at (0.000, 0.000, 0.000), As at (0.000, 0.000, 0.500) and Os at (0.250, 0.250, 0.250).

No. 5
Computed, not measured: crystalline SiGeAu at its relaxed geometry at the GGA-PBE level of DFT.

For the total energy, the calculation gives -4.3746 eV per atom. The calculated density comes out at 7.050 g/cm³. The calculation puts the magnetic moment at 0.00 μB per cell. The uncorrected formation energy comes out at 65 meV per atom.

It has space group Pm (No. 6), with a = 3.958 Å, b = 3.945 Å, c = 8.981 Å, α = 90.00°, β = 90.18° and γ = 90.00°. The inequivalent atoms are Si at (0.000, 0.000, 0.000), Si at (0.499, 0.000, 0.854), Ge at (0.497, 0.500, 0.697), Ge at (0.996, 0.500, 0.535), Au at (0.000, 0.500, 0.152) and Au at (0.996, 0.000, 0.366).

No. 6
Computed, not measured: crystalline Ca2RuO at its relaxed geometry at the GGA-PBE level of DFT.

For the total energy, the calculation gives -5.2601 eV per atom. The calculated density comes out at 3.659 g/cm³. The calculation puts the magnetic moment at 7.69 μB per cell. The uncorrected formation energy comes out at -701 meV per atom.

It has space group I-42d (No. 122), with a = 6.610 Å, b = 6.610 Å, c = 8.194 Å, α = 90.00°, β = 90.00° and γ = 90.00°. The inequivalent atoms are Ca at (0.159, 0.750, 0.125), Ru at (0.000, 0.000, 0.500) and O at (0.000, 0.000, 0.000).

No. 7
Computed, not measured: crystalline SrAlOs at its relaxed geometry at the GGA-PBE level of DFT.

For the total energy, the calculation gives -5.0247 eV per atom. The calculated density comes out at 7.514 g/cm³. The calculation puts the magnetic moment at 0.00 μB per cell. As for the formation energy: 0.53 eV per atom.

It has space group P3m1 (No. 156), with a = 3.4254 Å, b = 3.4254 Å, c = 6.6294 Å, α = 90.00°, β = 90.00° and γ = 120.00°. The inequivalent atoms are Sr at (0.0000, 0.0000, 0.0000), Al at (0.6667, 0.3333, 0.4225) and Os at (0.3333, 0.6667, 0.6516).

No. 8
Computed, not measured: crystalline CaRhF at its relaxed geometry at the GGA-PBE level of DFT.

For the total energy, the calculation gives -5.6604 eV per atom. The calculated density comes out at 5.086 g/cm³. The calculation puts the magnetic moment at 1.95 μB per cell. The uncorrected formation energy comes out at -1919 meV per atom.

It has space group I4/mmm (No. 139), with a = 3.731 Å, b = 3.731 Å, c = 15.200 Å, α = 90.00°, β = 90.00° and γ = 90.00°. The inequivalent atoms are Ca at (0.000, 0.000, 0.159), Rh at (0.000, 0.500, 0.000) and F at (0.000, 0.500, 0.250).

No. 9
Computed, not measured: crystalline RbTaBr4 at its relaxed geometry at the GGA-PBE level of DFT.

For the total energy, the calculation gives -4.2610 eV per atom. The calculated density comes out at 4.996 g/cm³. The calculation puts the magnetic moment at 0.00 μB per cell. The uncorrected formation energy comes out at -1009 meV per atom.

It has space group C2/m (No. 12), with a = 15.637 Å, b = 7.424 Å, c = 6.813 Å, α = 90.00°, β = 99.90° and γ = 90.00°. The inequivalent atoms are Rb at (0.196, 0.000, 0.226), Ta at (0.026, 0.500, 0.309), Br at (0.000, 0.264, 0.000), Br at (0.101, 0.282, 0.600) and Br at (0.188, 0.500, 0.217).

No. 10
Computed, not measured: crystalline SrCaMg2Ag at its relaxed geometry at the GGA-PBE level of DFT.

For the total energy, the calculation gives -1.9741 eV per atom. The calculated density comes out at 2.907 g/cm³. The calculation puts the magnetic moment at 0.00 μB per cell. As for the formation energy: -0.03 eV per atom.

It has space group P4/mmm (No. 123), with a = 5.368 Å, b = 5.368 Å, c = 5.635 Å, α = 90.00°, β = 90.00° and γ = 90.00°. The inequivalent atoms are Sr at (0.000, 0.000, 0.000), Ca at (0.500, 0.500, 0.000), Mg at (0.000, 0.500, 0.500) and Ag at (0.500, 0.500, 0.500).

No. 11
Computed, not measured: crystalline Pm9Nd2Tl at its relaxed geometry at the GGA-PBE level of DFT.

For the total energy, the calculation gives -4.5990 eV per atom. The calculated density comes out at 7.477 g/cm³. The calculation puts the magnetic moment at 0.00 μB per cell. As for the formation energy: -0.04 eV per atom.

It has space group P4/mmm (No. 123), with a = 5.064 Å, b = 5.064 Å, c = 15.571 Å, α = 90.00°, β = 90.00° and γ = 90.00°. The inequivalent atoms are Pm at (0.000, 0.000, 0.000), Pm at (0.000, 0.000, 0.329), Pm at (0.000, 0.500, 0.161), Pm at (0.000, 0.500, 0.500), Nd at (0.500, 0.500, 0.330) and Tl at (0.500, 0.500, 0.000).

No. 12
Computed, not measured: crystalline Rb2PtSeF6 at its relaxed geometry at the GGA-PBE level of DFT.

For the total energy, the calculation gives -3.9657 eV per atom. The calculated density comes out at 4.802 g/cm³. The calculation puts the magnetic moment at 0.00 μB per cell. The uncorrected formation energy comes out at -1697 meV per atom.

It has space group I4/mmm (No. 139), with a = 6.127 Å, b = 6.127 Å, c = 10.299 Å, α = 90.00°, β = 90.00° and γ = 90.00°. The inequivalent atoms are Rb at (0.000, 0.500, 0.250), Pt at (0.000, 0.000, 0.000), Se at (0.000, 0.000, 0.500), F at (0.000, 0.000, 0.196) and F at (0.240, 0.240, 0.500).

No. 13
Computed, not measured: crystalline TcHSe2 at its relaxed geometry at the GGA-PBE level of DFT.

For the total energy, the calculation gives -5.2727 eV per atom. The calculated density comes out at 4.996 g/cm³. The calculation puts the magnetic moment at 0.00 μB per cell.

It has space group C2/c (No. 15), with a = 9.976 Å, b = 11.129 Å, c = 13.170 Å, α = 90.00°, β = 110.85° and γ = 90.00°. The inequivalent atoms are Tc at (0.081, 0.080, 0.168), Tc at (0.088, 0.064, 0.877), H at (0.155, 0.408, 0.904), H at (0.173, 0.370, 0.596), Se at (0.000, 0.227, 0.750), Se at (0.000, 0.245, 0.250), Se at (0.021, 0.208, 0.001), Se at (0.203, 0.482, 0.667) and Se at (0.239, 0.010, 0.569).

No. 14
Computed, not measured: crystalline ZnFe2C at its relaxed geometry at the GGA-PBE level of DFT.

For the total energy, the calculation gives -6.8086 eV per atom. The calculated density comes out at 7.346 g/cm³. The calculation puts the magnetic moment at 7.77 μB per cell. As for the formation energy: 0.05 eV per atom.

It has space group R3m (No. 160, hexagonal axes), with a = 2.8128 Å, b = 2.8128 Å, c = 18.7158 Å, α = 90.00°, β = 90.00° and γ = 120.00°. The inequivalent atoms are Zn at (0.0000, 0.0000, 0.0000), Fe at (0.0000, 0.0000, 0.2215), Fe at (0.0000, 0.0000, 0.4452) and C at (0.0000, 0.0000, 0.8335).

No. 15
Computed, not measured: crystalline Pm2Ni4Ge3Au at its relaxed geometry at the GGA-PBE level of DFT.

For the total energy, the calculation gives -5.5773 eV per atom. The calculated density comes out at 9.077 g/cm³. The calculation puts the magnetic moment at 0.00 μB per cell. As for the formation energy: -0.60 eV per atom.

It has space group P-4m2 (No. 115), with a = 4.204 Å, b = 4.204 Å, c = 9.728 Å, α = 90.00°, β = 90.00° and γ = 90.00°. The inequivalent atoms are Pm at (0.000, 0.500, 0.246), Ni at (0.000, 0.000, 0.000), Ni at (0.000, 0.500, 0.641), Ni at (0.500, 0.500, 0.000), Ge at (0.000, 0.500, 0.880), Ge at (0.500, 0.500, 0.500) and Au at (0.000, 0.000, 0.500).

No. 16
Computed, not measured: crystalline CrRu2Se at its relaxed geometry at the GGA-PBE level of DFT.

For the total energy, the calculation gives -7.6890 eV per atom. The calculated density comes out at 9.592 g/cm³. The calculation puts the magnetic moment at 3.27 μB per cell. The uncorrected formation energy comes out at 226 meV per atom.

It has space group C2/m (No. 12), with a = 8.661 Å, b = 2.901 Å, c = 4.636 Å, α = 90.00°, β = 98.13° and γ = 90.00°. The inequivalent atoms are Cr at (0.000, 0.000, 0.000), Ru at (0.233, 0.500, 0.232) and Se at (0.000, 0.500, 0.500).

No. 17
Computed, not measured: crystalline Ac2MgTe at its relaxed geometry at the GGA-PBE level of DFT.

For the total energy, the calculation gives -3.8878 eV per atom. The calculated density comes out at 7.245 g/cm³. The calculation puts the magnetic moment at 0.00 μB per cell. The uncorrected formation energy comes out at -650 meV per atom.

It has space group P4/mmm (No. 123), with a = 4.145 Å, b = 4.145 Å, c = 8.082 Å, α = 90.00°, β = 90.00° and γ = 90.00°. The inequivalent atoms are Ac at (0.000, 0.000, 0.246), Mg at (0.500, 0.500, 0.500) and Te at (0.500, 0.500, 0.000).

No. 18
Computed, not measured: crystalline ZrIn2Ir at its relaxed geometry at the GGA-PBE level of DFT.

For the total energy, the calculation gives -5.9879 eV per atom. The calculated density comes out at 10.114 g/cm³. The calculation puts the magnetic moment at 0.00 μB per cell. As for the formation energy: -0.27 eV per atom.

It has space group Pm (No. 6), with a = 3.145 Å, b = 3.513 Å, c = 7.625 Å, α = 90.00°, β = 90.07° and γ = 90.00°. The inequivalent atoms are Zr at (0.000, 0.000, 0.000), In at (0.501, 0.500, 0.280), In at (0.998, 0.000, 0.576) and Ir at (0.498, 0.500, 0.805).

No. 19
Computed, not measured: crystalline Cs3PBr6 at its relaxed geometry at the GGA-PBE level of DFT.

For the total energy, the calculation gives -2.9690 eV per atom. The calculated density comes out at 3.556 g/cm³. The calculation puts the magnetic moment at 0.00 μB per cell. The uncorrected formation energy comes out at -1168 meV per atom.

It has space group P2_1/c (No. 14), with a = 8.321 Å, b = 8.579 Å, c = 14.365 Å, α = 90.00°, β = 124.11° and γ = 90.00°. The inequivalent atoms are Cs at (0.000, 0.000, 0.000), Cs at (0.274, 0.065, 0.755), P at (0.500, 0.000, 0.500), Br at (0.203, 0.020, 0.292), Br at (0.293, 0.668, 0.047) and Br at (0.389, 0.245, 0.049).

No. 20
Computed, not measured: crystalline HoURh2 at its relaxed geometry at the GGA-PBE level of DFT.

For the total energy, the calculation gives -8.2232 eV per atom. The calculated density comes out at 12.721 g/cm³. The calculation puts the magnetic moment at 2.21 μB per cell. As for the formation energy: -0.58 eV per atom.

It has space group P4/mmm (No. 123), with a = 4.859 Å, b = 4.859 Å, c = 3.366 Å, α = 90.00°, β = 90.00° and γ = 90.00°. The inequivalent atoms are Ho at (0.000, 0.000, 0.000), U at (0.500, 0.500, 0.000) and Rh at (0.000, 0.500, 0.500).

No. 21
Computed, not measured: crystalline ThCuGe at its relaxed geometry at the GGA-PBE level of DFT.

For the total energy, the calculation gives -5.9480 eV per atom. The calculated density comes out at 9.706 g/cm³. The calculation puts the magnetic moment at 0.00 μB per cell. As for the formation energy: -0.57 eV per atom.

It has space group Immm (No. 71), with a = 4.207 Å, b = 7.426 Å, c = 8.065 Å, α = 90.00°, β = 90.00° and γ = 90.00°. The inequivalent atoms are Th at (0.000, 0.000, 0.247), Cu at (0.000, 0.336, 0.500) and Ge at (0.000, 0.328, 0.000).

No. 22
Computed, not measured: crystalline ErPuGa2Au4 at its relaxed geometry at the GGA-PBE level of DFT.

For the total energy, the calculation gives -5.2640 eV per atom. The calculated density comes out at 13.470 g/cm³. The calculation puts the magnetic moment at 16.14 μB per cell. As for the formation energy: -0.51 eV per atom.

It has space group R-3m (No. 166, hexagonal axes), with a = 4.7354 Å, b = 4.7354 Å, c = 25.4919 Å, α = 90.00°, β = 90.00° and γ = 120.00°. The inequivalent atoms are Er at (0.0000, 0.0000, 0.0000), Pu at (0.0000, 0.0000, 0.5000), Ga at (0.0000, 0.0000, 0.2498), Au at (0.0000, 0.0000, 0.1147) and Au at (0.0000, 0.0000, 0.3768).

No. 23
Computed, not measured: crystalline Dy2ScTe5 at its relaxed geometry at the GGA-PBE level of DFT.

For the total energy, the calculation gives -5.0519 eV per atom. The calculated density comes out at 5.671 g/cm³. The calculation puts the magnetic moment at 0.00 μB per cell. The uncorrected formation energy comes out at -1146 meV per atom.

It has space group Cmcm (No. 63), with a = 6.073 Å, b = 14.719 Å, c = 13.208 Å, α = 90.00°, β = 90.00° and γ = 90.00°. The inequivalent atoms are Dy at (0.000, 0.163, 0.063), Sc at (0.000, 0.197, 0.750), Te at (0.000, 0.035, 0.624), Te at (0.000, 0.286, 0.250) and Te at (0.000, 0.325, 0.582).

No. 24
Computed, not measured: crystalline Li2ZnHgH at its relaxed geometry at the GGA-PBE level of DFT.

For the total energy, the calculation gives -1.8418 eV per atom. The calculated density comes out at 6.593 g/cm³. The calculation puts the magnetic moment at 0.00 μB per cell.

It has space group P4/mmm (No. 123), with a = 4.112 Å, b = 4.112 Å, c = 4.184 Å, α = 90.00°, β = 90.00° and γ = 90.00°. The inequivalent atoms are Li at (0.000, 0.500, 0.000), Zn at (0.000, 0.000, 0.500), Hg at (0.500, 0.500, 0.500) and H at (0.500, 0.500, 0.000).